(1)
{"formula": "K2SnAs2S6", "functional": "GGA-PBEsol", "state": "relaxed", "formation_energy_uncorrected_ev_per_atom": -0.61, "lattice": [[6.659, 0.000, 0.000], [-3.330, 5.767, 0.000], [0.000, 0.000, 7.219]], "species": ["K", "K", "Sn", "As", "As", "S", "S", "S", "S", "S", "S"], "fractional_positions": [[0.333, 0.667, 0.090], [0.667, 0.333, 0.910], [0.000, 0.000, 0.500], [0.333, 0.667, 0.555], [0.667, 0.333, 0.445], [0.098, 0.758, 0.719], [0.242, 0.340, 0.719], [0.340, 0.098, 0.281], [0.660, 0.902, 0.719], [0.758, 0.660, 0.281], [0.902, 0.242, 0.281]]}

***

(2)
{"formula": "K2SbAs", "functional": "GGA-PBEsol", "state": "relaxed", "relative_energy_mev_per_atom": 29, "formation_energy_uncorrected_ev_per_atom": -0.36, "lattice": [[3.961, 0.000, 0.000], [0.000, 5.624, 0.000], [0.000, 0.000, 11.515]], "species": ["K", "K", "K", "K", "Sb", "Sb", "As", "As"], "fractional_positions": [[0.000, 0.000, 0.000], [0.000, 0.500, 0.214], [0.500, 0.000, 0.714], [0.500, 0.500, 0.500], [0.000, 0.500, 0.797], [0.500, 0.000, 0.297], [0.000, 0.000, 0.455], [0.500, 0.500, 0.955]]}

***

(3)
{"formula": "KSbAs", "functional": "GGA-PBEsol", "state": "relaxed", "relative_energy_mev_per_atom": 0, "formation_energy_uncorrected_ev_per_atom": -0.28, "lattice": [[3.759, 0.000, 0.000], [0.000, 3.759, 0.000], [0.000, 0.000, 12.050]], "species": ["K", "K", "Sb", "Sb", "As", "As"], "fractional_positions": [[0.000, 0.000, 0.000], [0.500, 0.500, 0.500], [0.000, 0.000, 0.713], [0.500, 0.500, 0.213], [0.000, 0.000, 0.296], [0.500, 0.500, 0.796]]}

***

(4)
{"formula": "K2SbAs", "functional": "GGA-PBEsol", "state": "relaxed", "relative_energy_mev_per_atom": 0, "formation_energy_uncorrected_ev_per_atom": -0.39, "lattice": [[4.428, 0.000, 0.000], [0.000, 5.269, 0.000], [0.000, 0.000, 11.928]], "species": ["K", "K", "K", "K", "Sb", "Sb", "As", "As"], "fractional_positions": [[0.000, 0.000, 0.000], [0.000, 0.500, 0.500], [0.500, 0.000, 0.276], [0.500, 0.500, 0.776], [0.000, 0.000, 0.699], [0.000, 0.500, 0.199], [0.500, 0.000, 0.570], [0.500, 0.500, 0.070]]}

***

(5)
{"formula": "K2SbAs", "functional": "GGA-PBEsol", "state": "relaxed", "relative_energy_mev_per_atom": 178, "formation_energy_uncorrected_ev_per_atom": -0.21, "lattice": [[6.454, 0.000, 0.000], [0.000, 10.535, 0.000], [0.000, 0.000, 3.180]], "species": ["K", "K", "K", "K", "Sb", "Sb", "As", "As"], "fractional_positions": [[0.250, 0.250, 0.000], [0.250, 0.750, 0.000], [0.750, 0.250, 0.000], [0.750, 0.750, 0.000], [0.000, 0.000, 0.500], [0.500, 0.500, 0.500], [0.000, 0.500, 0.500], [0.500, 0.000, 0.500]]}

***

(6)
{"formula": "KSbAs", "functional": "GGA-PBEsol", "state": "relaxed", "relative_energy_mev_per_atom": 232, "formation_energy_uncorrected_ev_per_atom": -0.05, "lattice": [[5.235, 0.000, 0.000], [-2.618, 4.534, 0.000], [0.000, 0.000, 3.329]], "species": ["K", "Sb", "As"], "fractional_positions": [[0.000, 0.000, 0.000], [0.333, 0.667, 0.500], [0.667, 0.333, 0.500]]}

***

(7)
{"formula": "K2SbAs2", "functional": "GGA-PBEsol", "state": "relaxed", "formation_energy_uncorrected_ev_per_atom": -0.32, "lattice": [[7.369, 0.000, 0.000], [0.000, 7.369, 0.000], [0.000, 0.000, 5.184]], "species": ["K", "K", "K", "K", "Sb", "Sb", "As", "As", "As", "As"], "fractional_positions": [[0.179, 0.321, 0.000], [0.321, 0.821, 0.000], [0.679, 0.179, 0.000], [0.821, 0.679, 0.000], [0.000, 0.000, 0.500], [0.500, 0.500, 0.500], [0.118, 0.618, 0.500], [0.382, 0.118, 0.500], [0.618, 0.882, 0.500], [0.882, 0.382, 0.500]]}

***

(8)
{"formula": "KScAs2", "functional": "GGA-PBEsol", "state": "relaxed", "formation_energy_ev_per_atom": -0.42, "lattice": [[3.544, 0.000, 0.000], [0.000, 3.544, 0.000], [0.000, 0.000, 8.903]], "species": ["K", "Sc", "As", "As"], "fractional_positions": [[0.000, 0.000, 0.000], [0.500, 0.500, 0.454], [0.000, 0.000, 0.360], [0.500, 0.500, 0.755]]}

***

(9)
{"formula": "KSc3As", "functional": "GGA-PBEsol", "state": "relaxed", "formation_energy_ev_per_atom": 0.01, "lattice": [[5.238, 0.000, 0.000], [0.000, 5.238, 0.000], [0.000, 0.000, 5.238]], "species": ["K", "Sc", "Sc", "Sc", "As"], "fractional_positions": [[0.000, 0.000, 0.000], [0.000, 0.500, 0.500], [0.500, 0.000, 0.500], [0.500, 0.500, 0.000], [0.500, 0.500, 0.500]]}

***

(10)
{"formula": "K2ScAs", "functional": "GGA-PBEsol", "state": "relaxed", "formation_energy_ev_per_atom": 0.29, "lattice": [[3.174, 0.000, 0.000], [0.000, 3.174, 0.000], [0.000, 0.000, 11.829]], "species": ["K", "K", "Sc", "As"], "fractional_positions": [[0.000, 0.000, 0.201], [0.000, 0.000, 0.799], [0.500, 0.500, 0.500], [0.500, 0.500, 0.000]]}

***

(11)
{"formula": "KSc2As", "functional": "GGA-PBEsol", "state": "relaxed", "formation_energy_ev_per_atom": 0.40, "lattice": [[3.272, 0.000, 0.000], [-1.636, 2.834, 0.000], [0.000, 0.000, 35.779]], "species": ["K", "K", "K", "Sc", "Sc", "Sc", "Sc", "Sc", "Sc", "As", "As", "As"], "fractional_positions": [[0.000, 0.000, 0.000], [0.333, 0.667, 0.667], [0.667, 0.333, 0.333], [0.000, 0.000, 0.427], [0.000, 0.000, 0.573], [0.333, 0.667, 0.094], [0.333, 0.667, 0.239], [0.667, 0.333, 0.761], [0.667, 0.333, 0.906], [0.000, 0.000, 0.500], [0.333, 0.667, 0.167], [0.667, 0.333, 0.833]]}

***

(12)
{"formula": "K3AsSe4", "functional": "GGA-PBEsol", "state": "relaxed", "formation_energy_uncorrected_ev_per_atom": -0.79, "lattice": [[9.280, 0.000, 0.000], [0.000, 10.865, 0.000], [0.000, 0.000, 9.896]], "species": ["K", "K", "K", "K", "K", "K", "K", "K", "K", "K", "K", "K", "As", "As", "As", "As", "Se", "Se", "Se", "Se", "Se", "Se", "Se", "Se", "Se", "Se", "Se", "Se", "Se", "Se", "Se", "Se"], "fractional_positions": [[0.072, 0.045, 0.192], [0.072, 0.455, 0.192], [0.147, 0.750, 0.417], [0.353, 0.250, 0.917], [0.428, 0.545, 0.692], [0.428, 0.955, 0.692], [0.572, 0.045, 0.308], [0.572, 0.455, 0.308], [0.647, 0.750, 0.083], [0.853, 0.250, 0.583], [0.928, 0.545, 0.808], [0.928, 0.955, 0.808], [0.229, 0.750, 0.974], [0.271, 0.250, 0.474], [0.729, 0.750, 0.526], [0.771, 0.250, 0.026], [0.013, 0.750, 0.100], [0.137, 0.071, 0.525], [0.137, 0.429, 0.525], [0.171, 0.750, 0.745], [0.329, 0.250, 0.245], [0.363, 0.571, 0.025], [0.363, 0.929, 0.025], [0.487, 0.250, 0.600], [0.513, 0.750, 0.400], [0.637, 0.071, 0.975], [0.637, 0.429, 0.975], [0.671, 0.750, 0.755], [0.829, 0.250, 0.255], [0.863, 0.571, 0.475], [0.863, 0.929, 0.475], [0.987, 0.250, 0.900]]}

***

no.,density (g cm⁻³),size of the total moment (μB per formula unit)
1,3.229,0.00
2,3.559,0.00
3,4.598,0.00
4,3.280,0.00
5,4.222,0.00
6,4.955,0.00
7,4.127,0.00
8,3.474,0.00
9,2.875,2.91
10,2.760,0.31
11,3.062,0.05
12,3.382,0.00